HoScAs | PBE | optimized geometry

a = 4.0055 Å, b = 4.5286 Å, c = 4.5286 Å
α = 120.00°, β = 90.00°, γ = 90.00°
Element x y z (fractional)
Ho 0.6244 0.6667 0.3333
As 0.2527 0.3333 0.6667
Sc 0.1229 0.0000 0.0000

magnetization = 0.00 μB/f.u.
volume = 71.1 Å³ per cell
energy of formation from the pure elements = -622 meV/atom
Fermi-level density of states = 1.123 states/eV/atom